A plane-wave DFT calculation with PBE-GGA was carried out for an optimized crystal structure of Rb2InAgBr5.

## Properties
Energy, Ha/atom: -0.1022
D(E_F), states/eV/cell: 3.656
Formation energy from raw total energies, meV/atom: -1017

```
data_Rb2InAgBr5
_chemical_formula_sum 'Rb2 In1 Ag1 Br5'
_symmetry_space_group_name_H-M 'P 4/m m m'
_symmetry_Int_Tables_number 123
_symmetry_space_group_name_Hall '-P 4 2'
_cell_length_a 5.259
_cell_length_b 5.259
_cell_length_c 11.975
_cell_angle_alpha 90.00
_cell_angle_beta 90.00
_cell_angle_gamma 90.00
loop_
_atom_site_label
_atom_site_type_symbol
_atom_site_fract_x
_atom_site_fract_y
_atom_site_fract_z
Rb1 Rb 0.000 0.000 0.211
In1 In 0.500 0.500 0.500
Ag1 Ag 0.500 0.500 0.000
Br1 Br 0.000 0.000 0.500
Br2 Br 0.000 0.500 0.000
Br3 Br 0.500 0.500 0.256
```

A plane-wave DFT calculation with PBE-GGA was carried out for an optimized crystal structure of In2ReAgBr.

## Properties
Energy, Ha/atom: -0.1389
D(E_F), states/eV/cell: 6.269
Formation energy from raw total energies, meV/atom: 711

```
data_In2ReAgBr
_chemical_formula_sum 'In2 Re1 Ag1 Br1'
_symmetry_space_group_name_H-M 'P 4/m m m'
_symmetry_Int_Tables_number 123
_symmetry_space_group_name_Hall '-P 4 2'
_cell_length_a 5.410
_cell_length_b 5.410
_cell_length_c 4.750
_cell_angle_alpha 90.00
_cell_angle_beta 90.00
_cell_angle_gamma 90.00
loop_
_atom_site_label
_atom_site_type_symbol
_atom_site_fract_x
_atom_site_fract_y
_atom_site_fract_z
In1 In 0.000 0.500 0.000
Re1 Re 0.000 0.000 0.000
Ag1 Ag 0.500 0.500 0.500
Br1 Br 0.000 0.000 0.500
```